This record from Alexandria describes an optimized crystal structure of HoHfAl6. The functional is GGA-PBE.

```
HoHfAl6
1.0
4.165 0.000 0.000
0.000 4.165 0.000
0.000 0.000 8.337
Ho Hf Al
1 1 6
Direct
0.000 0.000 0.000
0.000 0.000 0.500
0.500 0.500 0.000
0.500 0.500 0.500
0.500 0.000 0.259
0.500 0.000 0.741
0.000 0.500 0.259
0.000 0.500 0.741
```

Computed properties:
* formation energy: -0.39 eV per atom
* calculated volume: 145 Å³/f.u.
* M_tot: 0.00 μB/cell



This record from Alexandria describes an optimized crystal structure of BeInCu2. The functional is GGA-PBE.

```
BeInCu2
1.0
4.584 -0.054 0.000
1.411 4.361 0.000
-2.998 -2.154 2.718
Be Cu In
1 2 1
Direct
0.750 0.250 0.500
0.000 0.000 0.000
0.500 0.500 0.000
0.250 0.750 0.500
```

Computed properties:
* formation energy: 0.17 eV per atom
* calculated volume: 55 Å³/f.u.
* M_tot: 0.00 μB/cell
* E above lowest polymorph: 106 meV per atom



This record from Alexandria describes an optimized crystal structure of Li3AgPb. The functional is GGA-PBE.

```
Li3AgPb
1.0
5.396 -0.766 0.000
-1.975 5.080 0.000
-1.710 -2.157 4.208
Li Ag Pb
3 1 1
Direct
0.738 0.238 0.475
0.238 0.738 0.475
0.003 0.003 0.007
0.676 0.676 0.351
0.343 0.343 0.685
```

Computed properties:
* formation energy: -0.15 eV per atom
* calculated volume: 109 Å³/f.u.
* M_tot: 0.00 μB/cell
* E above lowest polymorph: 50 meV per atom



This record from Alexandria describes an optimized crystal structure of Tb5Tm3Se8. The functional is GGA-PBE.

```
Tb5Tm3Se8
1.0
-2.858 -2.798 7.075
-5.722 -5.771 0.074
1.864 -7.540 2.439
Tb Tm Se
5 3 8
Direct
0.500 0.000 0.000
0.500 0.500 0.000
0.000 0.000 0.000
0.000 0.500 0.000
0.500 0.500 0.500
0.500 0.000 0.500
0.000 0.000 0.500
0.000 0.500 0.500
0.250 0.250 0.744
0.250 0.756 0.744
0.756 0.250 0.744
0.753 0.753 0.742
0.750 0.750 0.256
0.750 0.244 0.256
0.244 0.750 0.256
0.247 0.247 0.258
```

Computed properties:
* formation energy (no corrections): -1.7262 eV/atom
* calculated volume: 381 Å³/f.u.
* M_tot: 0.00 μB/cell



This record from Alexandria describes an optimized crystal structure of PmSm2Y3. The functional is GGA-PBE.

```
PmSm2Y3
1.0
6.875 0.000 0.000
0.000 7.259 2.992
0.000 -0.948 7.794
Pm Sm Y
2 4 6
Direct
0.828 0.854 0.854
0.328 0.146 0.146
0.576 0.819 0.479
0.076 0.521 0.181
0.576 0.479 0.819
0.076 0.181 0.521
0.077 0.788 0.445
0.577 0.555 0.212
0.077 0.445 0.788
0.577 0.212 0.555
0.325 0.854 0.854
0.825 0.146 0.146
```

Computed properties:
* formation energy: 0.21 eV per atom
* calculated volume: 204 Å³/f.u.
* M_tot: 0.00 μB/cell
* E above lowest polymorph: 146 meV per atom



This record from Alexandria describes an optimized crystal structure of CoRe3. The functional is GGA-PBE.

```
CoRe3
1.0
5.439 0.008 0.000
-2.692 4.726 0.000
0.000 0.000 4.343
Co Re
2 6
Direct
0.577 0.423 0.250
0.423 0.577 0.750
0.910 0.090 0.750
0.090 0.910 0.250
0.422 0.096 0.750
0.578 0.904 0.250
0.904 0.578 0.750
0.096 0.422 0.250
```

Computed properties:
* formation energy: 0.00 eV per atom
* calculated volume: 56 Å³/f.u.
* M_tot: 0.00 μB/cell



Number 1: E -5.018 eV per atom. Number 2: E -3.496 eV per atom. Number 3: E -2.606 eV per atom. Number 4: E -5.754 eV per atom. Number 5: E -5.386 eV per atom. Number 6: E -11.114 eV per atom.